The following is a PBE calculation of a relaxed Cu2BAu crystal, from OQMD.

Cell lengths 4.1037, 4.1037, 4.1037 Å; angles 60.00, 60.00, 60.00 degrees
With the nearest neighbours (Å) after each atom.
Element x y z (fractional)
Au 0.2500 0.2500 0.2500  4 B 2.51, 4 Cu 2.51
B 0.5000 0.5000 0.5000  4 Au 2.51, 4 Cu 2.51
Cu 0.0000 0.0000 0.0000  4 Cu 2.51, 4 Au 2.51
Cu 0.7500 0.7500 0.7500  4 Cu 2.51, 4 B 2.51

## Properties
calculated total energy = -3.7551 eV/atom
volume = 12.2 Å³/atom